1.
This record from Alexandria describes a relaxed structure of Sr3Zn2Cu4. The functional is PBE-GGA.

Geometry as CIF:
```
data_Sr3Zn2Cu4
_cell_length_a 11.558
_cell_length_b 4.312
_cell_length_c 8.749
_cell_angle_alpha 90.00
_cell_angle_beta 101.95
_cell_angle_gamma 90.00
_space_group_name_H-M_alt 'C 1 2/m 1'
_space_group_IT_number 12
loop_
_space_group_symop_operation_xyz
'x,y,z'
'-x,-y,-z'
'-x,y,-z'
'x,-y,z'
'x+1/2,y+1/2,z'
'-x+1/2,-y+1/2,-z'
'-x+1/2,y+1/2,-z'
'x+1/2,-y+1/2,z'
loop_
_atom_site_label
_atom_site_type_symbol
_atom_site_fract_x
_atom_site_fract_y
_atom_site_fract_z
Sr1 Sr 0.000 0.000 0.000
Sr2 Sr 0.163 0.500 0.671
Zn1 Zn 0.115 0.500 0.280
Cu1 Cu 0.058 0.000 0.395
Cu2 Cu 0.222 0.500 0.054
```

Output
**E_form**: -130 meV/atom
**Distance to the lowest polymorph of the same formula**: 0.12 eV per formula unit



2.
This record from Alexandria describes a relaxed structure of Nd2HoN. The functional is PBE-GGA.

Geometry as CIF:
```
data_Nd2HoN
_cell_length_a 3.5759
_cell_length_b 3.5759
_cell_length_c 29.0155
_cell_angle_alpha 90.00
_cell_angle_beta 90.00
_cell_angle_gamma 120.00
_space_group_name_H-M_alt 'R -3 m'
_space_group_IT_number 166
_space_group_name_Hall '-R 3 2"'
loop_
_atom_site_label
_atom_site_type_symbol
_atom_site_fract_x
_atom_site_fract_y
_atom_site_fract_z
Nd1 Nd 0.0000 0.0000 0.1189
Ho1 Ho 0.0000 0.0000 0.0000
N1 N 0.0000 0.0000 0.5000
```

Output
**Formation energy (no corrections)**: -0.530 eV/atom



3.
This record from Alexandria describes a relaxed structure of KSbMo2. The functional is PBE-GGA.

Geometry as CIF:
```
data_KSbMo2
_cell_length_a 6.813
_cell_length_b 6.813
_cell_length_c 6.813
_cell_angle_alpha 90.00
_cell_angle_beta 90.00
_cell_angle_gamma 90.00
_space_group_name_H-M_alt 'F -4 3 m'
_space_group_IT_number 216
_space_group_name_Hall 'F -4 2 3'
loop_
_atom_site_label
_atom_site_type_symbol
_atom_site_fract_x
_atom_site_fract_y
_atom_site_fract_z
K1 K 0.000 0.000 0.000
Sb1 Sb 0.250 0.250 0.250
Mo1 Mo 0.000 0.000 0.500
Mo2 Mo 0.250 0.250 0.750
```

Output
**Formation energy (no corrections)**: 0.987 eV/atom



4.
This record from Alexandria describes a relaxed structure of BaCoWC2. The functional is PBE-GGA.

Geometry as CIF:
```
data_BaCoWC2
_cell_length_a 4.587
_cell_length_b 4.587
_cell_length_c 6.170
_cell_angle_alpha 90.00
_cell_angle_beta 90.00
_cell_angle_gamma 90.00
_space_group_name_H-M_alt 'P 4/m m m'
_space_group_IT_number 123
_space_group_name_Hall '-P 4 2'
loop_
_atom_site_label
_atom_site_type_symbol
_atom_site_fract_x
_atom_site_fract_y
_atom_site_fract_z
Ba1 Ba 0.000 0.000 0.000
Co1 Co 0.500 0.500 0.500
W1 W 0.000 0.000 0.500
C1 C 0.000 0.500 0.000
```

Output
**E_form**: 4139 meV/atom
**Distance to the lowest polymorph of the same formula**: 7.49 eV per formula unit



5.
This record from Alexandria describes a relaxed structure of ZnIr2N. The functional is PBE-GGA.

Geometry as CIF:
```
data_ZnIr2N
_cell_length_a 5.865
_cell_length_b 5.865
_cell_length_c 5.865
_cell_angle_alpha 90.00
_cell_angle_beta 90.00
_cell_angle_gamma 90.00
_space_group_name_H-M_alt 'F m -3 m'
_space_group_IT_number 225
_space_group_name_Hall '-F 4 2 3'
loop_
_atom_site_label
_atom_site_type_symbol
_atom_site_fract_x
_atom_site_fract_y
_atom_site_fract_z
Zn1 Zn 0.000 0.000 0.000
Ir1 Ir 0.250 0.250 0.250
N1 N 0.000 0.000 0.500
```

Output
**Distance to the lowest polymorph of the same formula**: 3.11 eV per formula unit
**Formation energy (no corrections)**: 1.171 eV/atom



6.
This record from Alexandria describes a relaxed structure of Sr3TaPt. The functional is PBE-GGA.

Geometry as CIF:
```
data_Sr3TaPt
_cell_length_a 5.682
_cell_length_b 5.682
_cell_length_c 5.682
_cell_angle_alpha 90.00
_cell_angle_beta 90.00
_cell_angle_gamma 90.00
_space_group_name_H-M_alt 'P m -3 m'
_space_group_IT_number 221
_space_group_name_Hall '-P 4 2 3'
loop_
_atom_site_label
_atom_site_type_symbol
_atom_site_fract_x
_atom_site_fract_y
_atom_site_fract_z
Sr1 Sr 0.000 0.000 0.500
Ta1 Ta 0.000 0.000 0.000
Pt1 Pt 0.500 0.500 0.500
```

Output
**E_form**: 1250 meV/atom
**Distance to the lowest polymorph of the same formula**: 3.54 eV per formula unit



7.
This record from Alexandria describes a relaxed structure of SrFeSN2. The functional is PBE-GGA.

Geometry as CIF:
```
data_SrFeSN2
_cell_length_a 4.690
_cell_length_b 4.690
_cell_length_c 5.833
_cell_angle_alpha 90.00
_cell_angle_beta 90.00
_cell_angle_gamma 90.00
_space_group_name_H-M_alt 'P 4/m m m'
_space_group_IT_number 123
_space_group_name_Hall '-P 4 2'
loop_
_atom_site_label
_atom_site_type_symbol
_atom_site_fract_x
_atom_site_fract_y
_atom_site_fract_z
Sr1 Sr 0.000 0.000 0.000
Fe1 Fe 0.500 0.500 0.500
S1 S 0.000 0.000 0.500
N1 N 0.000 0.500 0.000
```

Output
**Distance to the lowest polymorph of the same formula**: 9.02 eV per formula unit
**Formation energy (no corrections)**: 1.854 eV/atom



8.
This record from Alexandria describes a relaxed structure of BeNbCr. The functional is PBE-GGA.

Geometry as CIF:
```
data_BeNbCr
_cell_length_a 4.619
_cell_length_b 4.882
_cell_length_c 6.813
_cell_angle_alpha 90.00
_cell_angle_beta 90.00
_cell_angle_gamma 90.00
_space_group_name_H-M_alt 'I m m a'
_space_group_IT_number 74
_space_group_name_Hall '-I 2b 2'
loop_
_atom_site_label
_atom_site_type_symbol
_atom_site_fract_x
_atom_site_fract_y
_atom_site_fract_z
Be1 Be 0.000 0.000 0.000
Nb1 Nb 0.000 0.250 0.376
Cr1 Cr 0.250 0.250 0.750
```

Output
**E_form**: -77 meV/atom
**Distance to the lowest polymorph of the same formula**: 0.13 eV per formula unit



9.
This record from Alexandria describes a relaxed structure of PmThGaAu. The functional is PBE-GGA.

Geometry as CIF:
```
data_PmThGaAu
_cell_length_a 7.424
_cell_length_b 7.424
_cell_length_c 7.424
_cell_angle_alpha 90.00
_cell_angle_beta 90.00
_cell_angle_gamma 90.00
_space_group_name_H-M_alt 'F -4 3 m'
_space_group_IT_number 216
_space_group_name_Hall 'F -4 2 3'
loop_
_atom_site_label
_atom_site_type_symbol
_atom_site_fract_x
_atom_site_fract_y
_atom_site_fract_z
Pm1 Pm 0.000 0.000 0.000
Th1 Th 0.000 0.000 0.500
Ga1 Ga 0.250 0.250 0.750
Au1 Au 0.250 0.250 0.250
```

Output
**E_form**: -521 meV/atom
**Distance to the lowest polymorph of the same formula**: 0.29 eV per formula unit



10.
This record from Alexandria describes a relaxed structure of LiPuIn4Pd2. The functional is PBE-GGA.

Geometry as CIF:
```
data_LiPuIn4Pd2
_cell_length_a 4.6483
_cell_length_b 4.6483
_cell_length_c 27.0314
_cell_angle_alpha 90.00
_cell_angle_beta 90.00
_cell_angle_gamma 120.00
_space_group_name_H-M_alt 'R -3 m'
_space_group_IT_number 166
_space_group_name_Hall '-R 3 2"'
loop_
_atom_site_label
_atom_site_type_symbol
_atom_site_fract_x
_atom_site_fract_y
_atom_site_fract_z
Li1 Li 0.0000 0.0000 0.0000
Pu1 Pu 0.0000 0.0000 0.5000
In1 In 0.0000 0.0000 0.1049
In2 In 0.0000 0.0000 0.3718
Pd1 Pd 0.0000 0.0000 0.2656
```

Output
**E_form**: -346 meV/atom



11.
This record from Alexandria describes a relaxed structure of AlSe2Br. The functional is PBE-GGA.

Geometry as CIF:
```
data_AlSe2Br
_cell_length_a 3.602
_cell_length_b 7.708
_cell_length_c 8.702
_cell_angle_alpha 90.00
_cell_angle_beta 90.00
_cell_angle_gamma 90.00
_space_group_name_H-M_alt 'I m m 2'
_space_group_IT_number 44
loop_
_space_group_symop_operation_xyz
'x,y,z'
'-x,-y,z'
'-x,y,z'
'x,-y,z'
'x+1/2,y+1/2,z+1/2'
'-x+1/2,-y+1/2,z+1/2'
'-x+1/2,y+1/2,z+1/2'
'x+1/2,-y+1/2,z+1/2'
loop_
_atom_site_label
_atom_site_type_symbol
_atom_site_fract_x
_atom_site_fract_y
_atom_site_fract_z
Al1 Al 0.000 0.000 0.000
Se1 Se 0.000 0.000 0.579
Se2 Se 0.000 0.500 0.286
Br1 Br 0.000 0.500 0.703
```

Output
**Distance to the lowest polymorph of the same formula**: 1.98 eV per formula unit
**Formation energy (no corrections)**: -0.081 eV/atom